No. 1
The following is a PBE-GGA calculation of KU2MnSe4 after structural relaxation, from the Alexandria database.

abc: 4.0747 7.3979 14.4105
angles: 90.00 90.00 105.99
Each line ends with the local moment (μB).
Sites, in units of the cell vectors:
1 K 0.1045 0.2091 0.7500  0.00
2 K 0.8955 0.7909 0.2500  0.00
3 U 0.3662 0.7323 0.5606  2.43
4 U 0.6338 0.2677 0.0606  2.43
5 U 0.6338 0.2677 0.4394  2.43
6 U 0.3662 0.7323 0.9394  2.43
7 Mn 0.8313 0.6627 0.7500  3.27
8 Mn 0.1687 0.3373 0.2500  3.27
9 Se 0.2690 0.5380 0.1130  -0.03
10 Se 0.7310 0.4620 0.6130  -0.03
11 Se 0.7310 0.4620 0.8870  -0.03
12 Se 0.2690 0.5380 0.3870  -0.03
13 Se 0.0000 0.0000 0.5000  -0.06
14 Se 0.0000 0.0000 0.0000  -0.06
15 Se 0.4299 0.8597 0.7500  -0.02
16 Se 0.5701 0.1403 0.2500  -0.02

Values from the calculation:
Crystal system ... orthorhombic
Space-group type ... Cmcm (63)
DFT total energy ... -0.24943 hartree per atom
Formation energy without anion corrections ... -7.52 eV per formula unit


No. 2
The following is a PBE-GGA calculation of Sc7BI12 after structural relaxation, from the Alexandria database.

abc: 9.3926 9.3926 9.3926
angles: 107.93 107.93 107.93
Each line ends with the local moment (μB).
Sites, in units of the cell vectors:
1 Sc 0.9699 0.7229 0.9078  0.28
2 Sc 0.2771 0.0922 0.0301  0.28
3 Sc 0.0922 0.0301 0.2771  0.28
4 Sc 0.5000 0.5000 0.5000  -0.20
5 Sc 0.9078 0.9699 0.7229  0.28
6 Sc 0.7229 0.9078 0.9699  0.28
7 Sc 0.0301 0.2771 0.0922  0.28
8 B 0.0000 0.0000 0.0000  -0.07
9 I 0.9244 0.3026 0.7786  -0.01
10 I 0.6974 0.2214 0.0756  -0.01
11 I 0.4579 0.1555 0.3837  0.00
12 I 0.8445 0.6163 0.5421  0.00
13 I 0.2214 0.0756 0.6974  -0.01
14 I 0.6163 0.5421 0.8445  0.00
15 I 0.3837 0.4579 0.1555  0.00
16 I 0.7786 0.9244 0.3026  -0.01
17 I 0.1555 0.3837 0.4579  0.00
18 I 0.5421 0.8445 0.6163  0.00
19 I 0.3026 0.7786 0.9244  -0.01
20 I 0.0756 0.6974 0.2214  -0.01

Values from the calculation:
Crystal system ... trigonal
Space-group type ... R-3 (148)
DFT total energy ... -0.16840 hartree per atom
Formation energy without anion corrections ... -22.05 eV per formula unit


No. 3
The following is a PBE-GGA calculation of Sm7Dy2Th2 after structural relaxation, from the Alexandria database.

abc: 8.7258 6.0495 8.7258
angles: 63.94 97.15 116.06
Sites, in units of the cell vectors:
1 Sm 0.4087 0.1858 0.0507
2 Sm 0.0507 0.8142 0.4087
3 Sm 0.5913 0.8142 0.9493
4 Sm 0.9493 0.1858 0.5913
5 Sm 0.5776 0.3551 0.4224
6 Sm 0.0000 0.0000 0.0000
7 Sm 0.4224 0.6449 0.5776
8 Dy 0.2279 0.8622 0.7721
9 Dy 0.7721 0.1378 0.2279
10 Th 0.7866 0.5000 0.7866
11 Th 0.2134 0.5000 0.2134

Values from the calculation:
ΔE_f ... 0.1854 eV/atom
Crystal system ... monoclinic
Space-group type ... C2/m (12)
E above lowest polymorph ... 9 meV/atom
DFT total energy ... -0.18387 hartree per atom


No. 4
The following is a PBE-GGA calculation of BeAlPb2 after structural relaxation, from the Alexandria database.

abc: 7.3071 5.3297 3.3414
angles: 84.37 71.69 125.95
Sites, in units of the cell vectors:
1 Pb 0.0000 0.0000 0.0000
2 Pb 0.5000 0.0000 0.5000
3 Be 0.5000 0.5000 0.0000
4 Al 0.0000 0.5000 0.5000

Values from the calculation:
ΔE_f ... 0.5766 eV/atom
Crystal system ... monoclinic
Space-group type ... C2/m (12)
E above lowest polymorph ... 263 meV/atom
DFT total energy ... -0.11557 hartree per atom